Here is a geometry-optimized MgIn2Pt3 structure from Alexandria. Energies are from PBE. Values from VASP.

Geometry as Quantum ESPRESSO input:
```
&SYSTEM
  ibrav = 0, nat = 12, ntyp = 3
/
ATOMIC_SPECIES
Pt 195.08 Pt.upf
In 114.82 In.upf
Mg 24.30 Mg.upf
ATOMIC_POSITIONS angstrom
Pt -1.6073 -2.2754 0.5757
In -0.8009 -0.6533 2.7816
In 0.6508 -7.4099 1.6127
In 0.0733 -3.8089 2.2921
Pt -2.4132 -2.9328 3.3746
Pt -0.6985 -5.4206 0.0888
Mg 1.4417 -6.7466 -1.1694
Mg 0.8842 -3.1656 -0.4889
Pt 1.4225 -5.7983 3.8160
Pt 2.2335 -5.1368 0.9996
Pt -1.5094 -6.0820 2.9052
In 0.0000 0.0000 0.0000
CELL_PARAMETERS angstrom
-2.4187 -3.9016 -1.6128
4.7446 -6.0106 -0.0455
-1.6018 -1.3066 5.5631
```

energy relative to the elements = -0.58 eV/atom
DOS(E_F) = 0.261 states/eV per atom
DFT total energy = -4.78 eV per atom

***

Here is a geometry-optimized Mg8In2Pt structure from Alexandria. Energies are from PBE. Values from VASP.

Geometry as Quantum ESPRESSO input:
```
&SYSTEM
  ibrav = 0, nat = 11, ntyp = 3
/
ATOMIC_SPECIES
Mg 24.30 Mg.upf
In 114.82 In.upf
Pt 195.08 Pt.upf
ATOMIC_POSITIONS angstrom
Mg 0.0000 0.0754 2.6709
Mg 2.4623 1.9910 7.2792
Mg 2.4623 4.9385 1.7875
Mg 0.0000 1.7544 5.3240
Mg 0.0000 1.5464 -0.0457
Mg 2.4623 1.7829 1.9094
Mg 0.0000 -1.4012 5.4459
Mg 2.4623 3.4620 4.5625
In 2.4623 0.1462 4.6812
In 0.0000 3.3912 2.5523
Pt 2.4623 0.0000 0.0000
CELL_PARAMETERS angstrom
4.9246 0.0000 0.0000
0.0000 6.6133 -0.2166
-2.4623 -3.0759 7.4500
```

energy relative to the elements = -0.25 eV/atom
DOS(E_F) = 0.309 states/eV per atom
DFT total energy = -2.45 eV per atom

***

Here is a geometry-optimized MgIn2Pt2 structure from Alexandria. Energies are from PBE. Values from VASP.

Geometry as Quantum ESPRESSO input:
```
&SYSTEM
  ibrav = 0, nat = 5, ntyp = 3
/
ATOMIC_SPECIES
In 114.82 In.upf
Pt 195.08 Pt.upf
Mg 24.30 Mg.upf
ATOMIC_POSITIONS angstrom
In 2.0694 4.1388 3.1039
Pt 4.1388 4.1388 4.9216
Pt 2.0694 2.0694 1.2861
Mg 0.0000 0.0000 0.0000
In 4.1388 2.0694 3.1039
CELL_PARAMETERS angstrom
4.1388 0.0000 0.0000
0.0000 4.1388 0.0000
2.0694 2.0694 6.2078
```

energy relative to the elements = -0.35 eV/atom
energy above the lowest structure with this stoichiometry = 245 meV per atom
DOS(E_F) = 0.401 states/eV per atom
DFT total energy = -4.18 eV per atom

***

Here is a geometry-optimized MgIn2Pt structure from Alexandria. Energies are from PBE. Values from VASP.

Geometry as Quantum ESPRESSO input:
```
&SYSTEM
  ibrav = 0, nat = 4, ntyp = 3
/
ATOMIC_SPECIES
Mg 24.30 Mg.upf
In 114.82 In.upf
Pt 195.08 Pt.upf
ATOMIC_POSITIONS angstrom
Mg -1.3455 3.1247 1.5024
In 2.5296 0.5002 1.5218
In 0.0000 0.0000 0.0000
Pt 1.2648 2.6245 -0.0195
CELL_PARAMETERS angstrom
5.1399 -0.0001 -0.0002
-2.6103 5.2490 -0.0389
-0.0806 1.0004 3.0437
```

energy relative to the elements = -0.15 eV/atom
DOS(E_F) = 0.441 states/eV per atom
DFT total energy = -3.43 eV per atom

***

Here is a geometry-optimized Mg2InPt structure from Alexandria. Energies are from PBE. Values from VASP.

Geometry as Quantum ESPRESSO input:
```
&SYSTEM
  ibrav = 0, nat = 4, ntyp = 3
/
ATOMIC_SPECIES
Pt 195.08 Pt.upf
Mg 24.30 Mg.upf
In 114.82 In.upf
ATOMIC_POSITIONS angstrom
Pt 6.7209 1.1504 0.6772
Mg 13.7185 2.3482 1.3822
In 20.1627 3.4513 2.0315
Mg 26.6069 4.5544 2.6808
CELL_PARAMETERS angstrom
9.3186 -0.0167 -0.0098
8.7825 3.1151 -0.0098
8.7825 1.5033 2.7284
```

energy relative to the elements = -0.32 eV/atom
DOS(E_F) = 0.577 states/eV per atom
DFT total energy = -3.31 eV per atom

***

Here is a geometry-optimized MgIn2Pt5 structure from Alexandria. Energies are from PBE. Values from VASP.

Geometry as Quantum ESPRESSO input:
```
&SYSTEM
  ibrav = 0, nat = 8, ntyp = 3
/
ATOMIC_SPECIES
Pt 195.08 Pt.upf
Mg 24.30 Mg.upf
In 114.82 In.upf
ATOMIC_POSITIONS angstrom
Pt 2.5182 0.5153 1.1770
Pt 1.2879 3.5901 4.6851
Mg 0.0000 0.0000 0.0000
In 0.9650 1.0409 3.5104
Pt 0.3235 2.5499 1.1770
Pt 1.8863 2.0346 -1.1218
Pt 3.4825 1.5554 4.6851
In 2.8411 3.0645 2.3517
CELL_PARAMETERS angstrom
4.0809 0.0000 -1.1218
-0.3084 4.0693 -1.1218
0.0335 0.0361 8.1056
```

energy relative to the elements = -0.47 eV/atom
DOS(E_F) = 0.295 states/eV per atom
DFT total energy = -5.13 eV per atom

***

Here is a geometry-optimized MgIn3Pt3 structure from Alexandria. Energies are from PBE. Values from VASP.

Geometry as Quantum ESPRESSO input:
```
&SYSTEM
  ibrav = 0, nat = 28, ntyp = 3
/
ATOMIC_SPECIES
In 114.82 In.upf
Pt 195.08 Pt.upf
Mg 24.30 Mg.upf
ATOMIC_POSITIONS angstrom
In 5.3592 5.3592 5.3592
In 5.0772 1.0032 3.0709
Pt 0.0958 1.6206 7.3231
Pt 5.6946 4.8989 8.0522
In 2.7888 1.2852 6.8628
Pt 8.0522 5.6946 4.8989
In 3.0709 5.0772 1.0032
In 2.3960 6.4700 5.7520
Mg 4.5459 7.6761 0.4719
Pt 4.1698 2.4534 0.8249
In 5.7520 2.3960 6.4700
Pt 4.8989 8.0522 5.6946
Pt 0.8249 4.1698 2.4534
In 1.6780 1.6780 1.6780
In 7.1449 7.1449 7.1449
Mg 0.4719 4.5459 7.6761
In 6.4700 5.7520 2.3960
In 6.8628 2.7888 1.2852
Pt 3.2491 3.9782 6.5274
Pt 6.5274 3.2491 3.9782
Mg 3.6021 3.6021 3.6021
Pt 1.6206 7.3231 0.0958
Pt 2.4534 0.8249 4.1698
In 1.0032 3.0709 5.0772
Pt 7.3231 0.0958 1.6206
In 1.2852 6.8628 2.7888
Pt 3.9782 6.5274 3.2491
Mg 7.6761 0.4719 4.5459
CELL_PARAMETERS angstrom
8.1480 0.0000 0.0000
0.0000 8.1480 0.0000
0.0000 0.0000 8.1480
```

energy relative to the elements = -0.46 eV/atom
DOS(E_F) = 0.549 states/eV per atom
DFT total energy = -4.45 eV per atom

***

Here is a geometry-optimized MgInPt2 structure from Alexandria. Energies are from PBE. Values from VASP.

Geometry as Quantum ESPRESSO input:
```
&SYSTEM
  ibrav = 0, nat = 4, ntyp = 3
/
ATOMIC_SPECIES
Pt 195.08 Pt.upf
Mg 24.30 Mg.upf
In 114.82 In.upf
ATOMIC_POSITIONS angstrom
Pt 4.6710 1.6266 2.5354
Pt 8.3139 2.8952 0.0901
Mg 2.3334 0.8126 1.2961
In 7.0003 2.4377 3.8883
CELL_PARAMETERS angstrom
4.6680 -0.0132 0.0167
3.6501 2.9098 0.0167
1.0156 0.3537 5.1510
```

energy relative to the elements = -0.45 eV/atom
DOS(E_F) = 0.418 states/eV per atom
DFT total energy = -4.56 eV per atom